# 1
# Ca2Hg2Pd GGA-PBE relaxed
# SG: I4/mmm
# Relative energy among the computed polymorphs in meV/atom: 281
data_Ca2Hg2Pd
_chemical_formula_sum 'Ca2 Hg2 Pd1'
_symmetry_space_group_name_H-M 'P 1'
_symmetry_Int_Tables_number 1
_symmetry_space_group_name_Hall 'P 1'
_cell_length_a 9.109
_cell_length_b 9.109
_cell_length_c 9.109
_cell_angle_alpha 154.56
_cell_angle_beta 154.56
_cell_angle_gamma 36.28
loop_
_atom_site_label
_atom_site_fract_x
_atom_site_fract_y
_atom_site_fract_z
Ca1 0.095 0.095 0.000
Ca2 0.905 0.905 0.000
Hg1 0.250 0.750 0.500
Hg2 0.750 0.250 0.500
Pd1 0.500 0.500 0.000

=====

# 2
# Cs2MoI2Br4 GGA-PBE relaxed
# Raw formation energy in eV/atom: -1.006
# SG: C2/m
data_Cs2MoI2Br4
_chemical_formula_sum 'Cs2 Mo1 I2 Br4'
_symmetry_space_group_name_H-M 'P 1'
_symmetry_Int_Tables_number 1
_symmetry_space_group_name_Hall 'P 1'
_cell_length_a 7.880
_cell_length_b 7.880
_cell_length_c 6.808
_cell_angle_alpha 92.17
_cell_angle_beta 92.17
_cell_angle_gamma 60.25
loop_
_atom_site_label
_atom_site_fract_x
_atom_site_fract_y
_atom_site_fract_z
Cs1 0.166 0.166 0.225
Cs2 0.834 0.834 0.775
Mo1 0.500 0.500 0.000
I1 0.332 0.332 0.749
I2 0.668 0.668 0.251
Br1 0.195 0.653 0.212
Br2 0.347 0.805 0.788
Br3 0.653 0.195 0.212
Br4 0.805 0.347 0.788

=====

# 3
# Dy4ThSi4 GGA-PBE relaxed
# Raw formation energy in eV/atom: -0.412
# SG: P4_2/n
data_Dy4ThSi4
_chemical_formula_sum 'Dy8 Th2 Si8'
_symmetry_space_group_name_H-M 'P 1'
_symmetry_Int_Tables_number 1
_symmetry_space_group_name_Hall 'P 1'
_cell_length_a 9.118
_cell_length_b 9.118
_cell_length_c 5.741
_cell_angle_alpha 90.00
_cell_angle_beta 90.00
_cell_angle_gamma 90.00
loop_
_atom_site_label
_atom_site_fract_x
_atom_site_fract_y
_atom_site_fract_z
Dy1 0.086 0.651 0.130
Dy2 0.151 0.914 0.630
Dy3 0.349 0.586 0.630
Dy4 0.414 0.849 0.130
Dy5 0.586 0.151 0.870
Dy6 0.651 0.414 0.370
Dy7 0.849 0.086 0.370
Dy8 0.914 0.349 0.870
Th1 0.250 0.250 0.250
Th2 0.750 0.750 0.750
Si1 0.033 0.606 0.630
Si2 0.106 0.967 0.130
Si3 0.394 0.533 0.130
Si4 0.467 0.894 0.630
Si5 0.533 0.106 0.370
Si6 0.606 0.467 0.870
Si7 0.894 0.033 0.870
Si8 0.967 0.394 0.370

=====

# 4
# Er2CN GGA-PBE relaxed
# Raw formation energy in eV/atom: -0.868
# SG: R-3m
data_Er2CN
_chemical_formula_sum 'Er2 C1 N1'
_symmetry_space_group_name_H-M 'P 1'
_symmetry_Int_Tables_number 1
_symmetry_space_group_name_Hall 'P 1'
_cell_length_a 6.152
_cell_length_b 6.152
_cell_length_c 6.152
_cell_angle_alpha 32.62
_cell_angle_beta 32.62
_cell_angle_gamma 32.62
loop_
_atom_site_label
_atom_site_fract_x
_atom_site_fract_y
_atom_site_fract_z
Er1 0.247 0.247 0.247
Er2 0.753 0.753 0.753
C1 0.000 0.000 0.000
N1 0.500 0.500 0.500

=====

no.,magnetization (μB per cell),DFT total energy (eV/f.u.)
1,0.00,-11.2
2,2.00,-31.4
3,0.00,-51.2
4,0.00,-30.1